No. 1
Density functional theory data (GGA-PBE) for crystalline Pr2Ga9Rh3 at its relaxed geometry.

Values from the calculation:
Crystal system: monoclinic
Energy relative to the elements, eV/atom: -0.712
Spin magnetization, μB/cell: 0.000

Cell lengths 13.3098, 7.6445, 10.6618 Å; angles 90.00, 114.81, 90.00 degrees
With the nearest neighbours (Å) after each atom.
Space group C2/c (No. 15)
Inequivalent atoms, fractional coordinates:
Pr  0.1686  0.0831  0.2504 [8 per cell]  11 Ga 3.06-3.17
Ga  0.0000  0.3731  0.2500 [4 per cell]  2 Rh 2.62, 6 Ga 2.75-2.90
Ga  0.0583  0.0852  0.9237 [8 per cell]  3 Rh 2.63-2.65, 3 Ga 2.79-2.85
Ga  0.1023  0.4162  0.0591 [8 per cell]  3 Rh 2.63-2.65, 5 Ga 2.79-2.90
Ga  0.1028  0.3159  0.7483 [8 per cell]  2 Rh 2.61-2.62, 6 Ga 2.75-2.87
Ga  0.2226  0.4178  0.4241 [8 per cell]  3 Rh 2.64-2.65, 4 Ga 2.77-2.96
Rh  0.0847  0.2445  0.5007 [8 per cell]  8 Ga 2.61-2.65
Rh  0.2500  0.2500  0.0000 [4 per cell]  8 Ga 2.62-2.65

No. 2
Density functional theory data (GGA-PBE) for crystalline PrGa11Rh at its relaxed geometry.

Values from the calculation:
Crystal system: monoclinic
Energy relative to the elements, eV/atom: -0.240
Spin magnetization, μB/cell: 0.000

Cell lengths 5.2210, 12.2620, 7.9532 Å; angles 90.00, 108.47, 90.00 degrees
With the nearest neighbours (Å) after each atom.
Space group C2/m (No. 12)
Inequivalent atoms, fractional coordinates:
Pr  0.0000  0.0000  0.0000 [2 per cell]  16 Ga 3.33-3.50
Ga  0.0000  0.0000  0.5000 [2 per cell]  2 Rh 2.61, 8 Ga 2.76
Ga  0.1185  0.3905  0.2313 [8 per cell]  7 Ga 2.69-2.99, 1 Rh 2.76
Ga  0.2003  0.1755  0.3649 [8 per cell]  1 Rh 2.68, 5 Ga 2.74-2.99
Ga  0.2500  0.2500  0.0000 [4 per cell]  6 Ga 2.61-2.79
Rh  0.0000  0.5000  0.5000 [2 per cell]  10 Ga 2.61-2.76

No. 3
Density functional theory data (GGA-PBE) for crystalline Pr2Ga4Rh3 at its relaxed geometry.

Values from the calculation:
Crystal system: orthorhombic
Energy relative to the elements, eV/atom: -0.666
Spin magnetization, μB/cell: 0.000

Cell lengths 5.5797, 9.7274, 12.8498 Å; angles 90.00, 90.00, 90.00 degrees
With the nearest neighbours (Å) after each atom.
Space group Fmmm (No. 69)
Inequivalent atoms, fractional coordinates:
Pr  0.0000  0.0000  0.1274 [8 per cell]  8 Ga 3.21-3.27, 6 Rh 3.23-3.25, 1 Pr 3.27
Ga  0.0000  0.1719  0.3429 [16 per cell]  3 Rh 2.57-2.62, 1 Ga 2.83
Rh  0.0000  0.0000  0.5000 [4 per cell]  4 Ga 2.62, 4 Rh 2.80
Rh  0.2500  0.2500  0.0000 [8 per cell]  4 Ga 2.57, 4 Rh 2.79-2.80

No. 4
Density functional theory data (GGA-PBE) for crystalline Pr2Ga3Rh2 at its relaxed geometry.

Values from the calculation:
Crystal system: orthorhombic
Energy relative to the elements, eV/atom: -0.689
Spin magnetization, μB/cell: 0.000

Cell lengths 4.3333, 18.8343, 7.0498 Å; angles 90.00, 90.00, 90.00 degrees
With the nearest neighbours (Å) after each atom.
Space group Cmcm (No. 63)
Inequivalent atoms, fractional coordinates:
Pr  0.0000  0.0575  0.2500 [4 per cell]  9 Ga 3.05-3.36
Pr  0.0000  0.1625  0.7500 [4 per cell]  6 Rh 3.06-3.09, 6 Ga 3.10-3.15
Ga  0.0000  0.2195  0.2500 [4 per cell]  6 Rh 2.65-2.68
Ga  0.0000  0.4388  0.0703 [8 per cell]  2 Ga 2.51-2.53, 1 Rh 2.59
Rh  0.0000  0.3082  0.5468 [8 per cell]  4 Ga 2.59-2.68, 1 Rh 2.86

No. 5
Density functional theory data (GGA-PBE) for crystalline Pr3GaRh2 at its relaxed geometry.

Values from the calculation:
Crystal system: orthorhombic
Energy relative to the elements, eV/atom: -0.628
Spin magnetization, μB/cell: 0.000

Cell lengths 12.3063, 3.9871, 12.3501 Å; angles 90.00, 90.00, 90.00 degrees
With the nearest neighbours (Å) after each atom.
Space group Pnma (No. 62)
Inequivalent atoms, fractional coordinates:
Pr  0.0630  0.2500  0.1231 [4 per cell]  4 Rh 3.06, 1 Ga 3.13
Pr  0.1286  0.7500  0.5685 [4 per cell]  4 Rh 3.07-3.13, 3 Ga 3.16
Pr  0.1971  0.2500  0.8196 [4 per cell]  3 Rh 2.88-2.99, 2 Ga 3.06
Ga  0.1210  0.2500  0.3700 [4 per cell]  3 Rh 2.54-2.71
Rh  0.0117  0.7500  0.3045 [4 per cell]  2 Ga 2.54
Rh  0.1934  0.7500  0.9876 [4 per cell]  1 Ga 2.71, 2 Pr 2.88

No. 6
Density functional theory data (GGA-PBE) for crystalline Pr3GaRh at its relaxed geometry.

Values from the calculation:
Crystal system: monoclinic
Energy relative to the elements, eV/atom: -0.485
Spin magnetization, μB/cell: 0.000

Cell lengths 10.2311, 6.6417, 9.0346 Å; angles 90.00, 117.04, 90.00 degrees
With the nearest neighbours (Å) after each atom.
Space group C2/m (No. 12)
Inequivalent atoms, fractional coordinates:
Pr  0.0303  0.0000  0.2551 [4 per cell]  2 Rh 2.87, 2 Ga 3.12
Pr  0.1886  0.5000  0.8712 [4 per cell]  2 Rh 3.04, 2 Ga 3.28
Pr  0.2007  0.5000  0.3219 [4 per cell]  2 Rh 3.06, 4 Ga 3.39-3.41
Ga  0.0000  0.3065  0.5000 [4 per cell]  1 Ga 2.57
Rh  0.0000  0.2807  0.0000 [4 per cell]  6 Pr 2.87-3.06, 1 Rh 2.91

No. 7
Density functional theory data (GGA-PBE) for crystalline Pr2Ga4Rh5 at its relaxed geometry.

Values from the calculation:
Crystal system: orthorhombic
Energy relative to the elements, eV/atom: -0.758
Spin magnetization, μB/cell: 0.000

Cell lengths 5.7815, 9.6486, 14.8288 Å; angles 90.00, 90.00, 90.00 degrees
With the nearest neighbours (Å) after each atom.
Space group Fmmm (No. 69)
Inequivalent atoms, fractional coordinates:
Pr  0.0000  0.0000  0.1257 [8 per cell]  6 Ga 3.27-3.30, 10 Rh 3.36-3.44
Ga  0.0000  0.1584  0.3700 [16 per cell]  5 Rh 2.46-2.57
Rh  0.0000  0.0000  0.5000 [4 per cell]  4 Ga 2.46
Rh  0.2500  0.2500  0.0000 [8 per cell]  4 Ga 2.57, 2 Rh 2.81
Rh  0.2500  0.2500  0.2500 [8 per cell]  4 Ga 2.46

No. 8
Density functional theory data (GGA-PBE) for crystalline Pr3Ga2Rh2 at its relaxed geometry.

Values from the calculation:
Crystal system: orthorhombic
Energy relative to the elements, eV/atom: -0.730
Spin magnetization, μB/cell: 0.000

Cell lengths 5.7389, 8.1470, 13.8589 Å; angles 90.00, 90.00, 90.00 degrees
With the nearest neighbours (Å) after each atom.
Space group Pbcm (No. 57)
Inequivalent atoms, fractional coordinates:
Pr  0.1318  0.2439  0.2500 [4 per cell]  3 Ga 3.09-3.15, 4 Rh 3.14-3.26
Pr  0.3533  0.6015  0.0980 [8 per cell]  4 Rh 2.95-3.23, 2 Ga 3.16-3.17
Ga  0.1305  0.2500  0.0000 [4 per cell]  4 Rh 2.62-2.68
Ga  0.3637  0.6072  0.7500 [4 per cell]  2 Rh 2.62
Rh  0.1400  0.5317  0.5914 [8 per cell]  3 Ga 2.62-2.68

No. 9
Density functional theory data (GGA-PBE) for crystalline Pr12Ga6Rh at its relaxed geometry.

Values from the calculation:
Crystal system: trigonal
Energy relative to the elements, eV/atom: -0.236
Spin magnetization, μB/cell: 0.008

Cell lengths 13.3022, 13.3022, 12.2699 Å; angles 90.00, 90.00, 120.00 degrees
With the nearest neighbours (Å) after each atom.
Space group R-3 (No. 148, hexagonal axes)
Inequivalent atoms, fractional coordinates:
Pr  0.0368  0.2095  0.3915 [18 per cell]  4 Ga 3.03-3.19
Pr  0.0539  0.2033  0.8827 [18 per cell]  1 Rh 2.82, 2 Ga 3.06-3.09
Ga  0.0549  0.2764  0.6433 [18 per cell]  7 Pr 3.03-3.26
Rh  0.0000  0.0000  0.0000 [3 per cell]  6 Pr 2.82

No. 10
Density functional theory data (GGA-PBE) for crystalline Pr4GaRh4 at its relaxed geometry.

Values from the calculation:
Crystal system: tetragonal
Energy relative to the elements, eV/atom: -0.603
Spin magnetization, μB/cell: 0.000

Cell lengths 8.6593, 8.6593, 5.7127 Å; angles 90.00, 90.00, 90.00 degrees
With the nearest neighbours (Å) after each atom.
Space group P4_2/n (No. 86, origin choice 2)
Inequivalent atoms, fractional coordinates:
Pr  0.0388  0.6858  0.1101 [8 per cell]  3 Rh 2.88-2.93
Ga  0.2500  0.2500  0.2500 [2 per cell]  4 Rh 2.45
Rh  0.0069  0.3581  0.3944 [8 per cell]  1 Ga 2.45

No. 11
Density functional theory data (GGA-PBE) for crystalline Pr2Ga3Rh at its relaxed geometry.

Values from the calculation:
Crystal system: monoclinic
Energy relative to the elements, eV/atom: -0.697
Spin magnetization, μB/cell: 0.000

Cell lengths 10.6335, 4.4451, 7.3632 Å; angles 90.00, 131.48, 90.00 degrees
With the nearest neighbours (Å) after each atom.
Space group Cm (No. 8)
Inequivalent atoms, fractional coordinates:
Pr  0.0000  0.0000  0.0000 [2 per cell]  9 Ga 3.08-3.41, 2 Rh 3.24
Pr  0.1006  0.0000  0.6062 [2 per cell]  3 Rh 3.10-3.14, 8 Ga 3.14-3.35
Ga  0.2036  0.5000  0.0057 [2 per cell]  1 Rh 2.63, 3 Ga 2.64-2.84
Ga  0.2224  0.5000  0.4090 [2 per cell]  2 Rh 2.59, 2 Ga 2.84-2.89
Ga  0.3804  0.0000  0.2113 [2 per cell]  3 Ga 2.64-2.89, 1 Rh 2.79
Rh  0.3882  0.0000  0.5970 [2 per cell]  4 Ga 2.59-2.79

No. 12
Density functional theory data (GGA-PBE) for crystalline Pr8GaRh2 at its relaxed geometry.

Values from the calculation:
Crystal system: monoclinic
Energy relative to the elements, eV/atom: -0.268
Spin magnetization, μB/cell: 0.000

Cell lengths 8.7296, 13.9694, 5.7984 Å; angles 90.00, 108.37, 90.00 degrees
With the nearest neighbours (Å) after each atom.
Space group C2/m (No. 12)
Inequivalent atoms, fractional coordinates:
Pr  0.0000  0.2346  0.0000 [4 per cell]  2 Rh 2.99, 1 Ga 3.28
Pr  0.1150  0.5000  0.8195 [4 per cell]  1 Ga 3.19, 3 Pr 3.33-3.48, 2 Rh 3.49
Pr  0.2120  0.1227  0.5582 [8 per cell]  2 Rh 2.89-2.93
Ga  0.0000  0.0000  0.0000 [2 per cell]  4 Pr 3.19-3.28
Rh  0.0000  0.2864  0.5000 [4 per cell]  6 Pr 2.89-2.99

No. 13
Density functional theory data (GGA-PBE) for crystalline Pr2Ga3Rh at its relaxed geometry.

Values from the calculation:
Crystal system: orthorhombic
Energy relative to the elements, eV/atom: -0.685
Spin magnetization, μB/cell: 0.000

Cell lengths 7.7027, 9.0183, 15.4437 Å; angles 90.00, 90.00, 90.00 degrees
With the nearest neighbours (Å) after each atom.
Space group Fmmm (No. 69)
Inequivalent atoms, fractional coordinates:
Pr  0.2389  0.0000  0.0000 [8 per cell]  2 Rh 3.13, 10 Ga 3.18-3.31
Pr  0.2500  0.2500  0.2500 [8 per cell]  8 Ga 3.20-3.21, 4 Rh 3.25
Ga  0.0000  0.0000  0.3301 [8 per cell]  1 Rh 2.57, 2 Ga 2.62
Ga  0.0000  0.2487  0.0843 [16 per cell]  1 Rh 2.56, 2 Ga 2.60-2.62
Rh  0.0000  0.0000  0.1638 [8 per cell]  3 Ga 2.56-2.57

No. 14
Density functional theory data (GGA-PBE) for crystalline PrGa12Rh4 at its relaxed geometry.

Values from the calculation:
Crystal system: cubic
Energy relative to the elements, eV/atom: -0.254
Spin magnetization, μB/cell: 0.000

Cell lengths 8.7883, 8.7883, 8.7883 Å; angles 90.00, 90.00, 90.00 degrees
With the nearest neighbours (Å) after each atom.
Space group Im-3 (No. 204)
Inequivalent atoms, fractional coordinates:
Pr  0.0000  0.0000  0.0000 [2 per cell]  12 Ga 3.31
Ga  0.0000  0.1599  0.3412 [24 per cell]  2 Rh 2.47
Rh  0.2500  0.2500  0.2500 [8 per cell]  6 Ga 2.47

No. 15
Density functional theory data (GGA-PBE) for crystalline Pr3GaRh at its relaxed geometry.

Values from the calculation:
Crystal system: monoclinic
Energy relative to the elements, eV/atom: -0.386
Spin magnetization, μB/cell: 0.000

Cell lengths 7.2398, 5.2797, 7.6000 Å; angles 90.00, 97.18, 90.00 degrees
With the nearest neighbours (Å) after each atom.
Space group Pm (No. 6)
Inequivalent atoms, fractional coordinates:
Pr  0.0000  0.0000  0.0000 [1 per cell]  1 Rh 2.79, 1 Ga 3.10
Pr  0.0026  0.5000  0.6717 [1 per cell]  3 Rh 2.80-3.12
Pr  0.2706  0.5000  0.2875 [1 per cell]  1 Rh 2.98, 2 Ga 3.28
Pr  0.4463  0.5000  0.8442 [1 per cell]  3 Rh 2.86-3.12, 2 Ga 3.15
Pr  0.5443  0.0000  0.5151 [1 per cell]  3 Rh 2.71-2.97
Pr  0.7724  0.5000  0.2147 [1 per cell]  1 Rh 2.74
Ga  0.0499  0.0000  0.4110 [1 per cell]  1 Rh 2.64
Ga  0.4592  0.0000  0.0714 [1 per cell]  1 Rh 2.87, 2 Pr 3.15
Rh  0.2323  0.0000  0.7338 [1 per cell]  2 Ga 2.64-2.87, 1 Pr 2.79
Rh  0.6269  0.5000  0.5311 [1 per cell]  6 Pr 2.71-2.98

No. 16
Density functional theory data (GGA-PBE) for crystalline Pr3Ga5Rh6 at its relaxed geometry.

Values from the calculation:
Crystal system: orthorhombic
Energy relative to the elements, eV/atom: -0.767
Spin magnetization, μB/cell: 0.000

Cell lengths 4.3056, 13.0968, 9.1270 Å; angles 90.00, 90.00, 90.00 degrees
With the nearest neighbours (Å) after each atom.
Space group Pmmn (No. 59, origin choice 2)
Inequivalent atoms, fractional coordinates:
Pr  0.2500  0.0531  0.2491 [4 per cell]  8 Rh 2.98-3.18, 4 Ga 3.14-3.18
Pr  0.2500  0.7500  0.2295 [2 per cell]  6 Ga 3.07-3.10, 4 Rh 3.14-3.34
Ga  0.2500  0.0970  0.8791 [4 per cell]  5 Rh 2.53-2.62
Ga  0.2500  0.6322  0.5208 [4 per cell]  5 Rh 2.58-2.71
Ga  0.2500  0.7500  0.7999 [2 per cell]  4 Rh 2.55-2.66
Rh  0.2500  0.0618  0.5969 [4 per cell]  4 Ga 2.58-2.63
Rh  0.2500  0.2500  0.0499 [2 per cell]  4 Ga 2.54-2.55
Rh  0.2500  0.2500  0.4185 [2 per cell]  6 Ga 2.71-2.93, 2 Rh 2.95, 2 Pr 3.01
Rh  0.2500  0.5881  0.9762 [4 per cell]  4 Ga 2.53-2.66

No. 17
Density functional theory data (GGA-PBE) for crystalline Pr3Ga2Rh3 at its relaxed geometry.

Values from the calculation:
Crystal system: orthorhombic
Energy relative to the elements, eV/atom: -0.743
Spin magnetization, μB/cell: 0.000

Cell lengths 7.8074, 15.2512, 5.9130 Å; angles 90.00, 90.00, 90.00 degrees
With the nearest neighbours (Å) after each atom.
Space group Pnma (No. 62)
Inequivalent atoms, fractional coordinates:
Pr  0.0343  0.1057  0.1483 [8 per cell]  6 Rh 3.00-3.27, 3 Ga 3.14-3.23
Pr  0.1765  0.2500  0.6083 [4 per cell]  5 Rh 2.97-3.30, 4 Ga 3.15-3.23
Ga  0.1167  0.6014  0.3593 [8 per cell]  4 Rh 2.48-2.67
Rh  0.1738  0.7500  0.5855 [4 per cell]  2 Ga 2.67, 1 Pr 2.97
Rh  0.1784  0.0373  0.5851 [8 per cell]  3 Ga 2.48-2.55